A relaxed structure of Tm2PuAu. Source: Alexandria, functional PBE.

The total moment is 6.46 μB per formula unit. The calculation puts the formation energy at -0.199 eV per atom. The final energy is -27.35 eV/f.u. For the density, the calculation gives 11.9 g cm⁻³.

Lattice parameters (Å, degrees): 3.557 3.557 10.127 79.89 79.89 60.00
Fractional positions:
Tm 0.261 0.261 0.216
Tm 0.739 0.739 0.784
Pu 0.500 0.500 0.500
Au 0.000 0.000 0.000



A relaxed structure of CsIrI2N. Source: Alexandria, functional PBE.

The total moment is 0.00 μB per formula unit. The formation energy from raw total energies is -54 kJ/mol of formula units. The final energy is -21.70 eV/f.u. For the density, the calculation gives 7.0 g cm⁻³.

Lattice parameters (Å, degrees): 6.113 6.113 3.789 90.00 90.00 90.00
Fractional positions:
I 0.000 0.500 0.000
I 0.500 0.000 0.000
Cs 0.500 0.500 0.500
Ir 0.000 0.000 0.000
N 0.000 0.000 0.500



Repeat the second record exactly.
A relaxed structure of CsIrI2N. Source: Alexandria, functional PBE.

The total moment is 0.00 μB per formula unit. The formation energy from raw total energies is -54 kJ/mol of formula units. The final energy is -21.70 eV/f.u. For the density, the calculation gives 7.0 g cm⁻³.

Lattice parameters (Å, degrees): 6.113 6.113 3.789 90.00 90.00 90.00
Fractional positions:
I 0.000 0.500 0.000
I 0.500 0.000 0.000
Cs 0.500 0.500 0.500
Ir 0.000 0.000 0.000
N 0.000 0.000 0.500